VASP calculation (PBE with a Hubbard U) on Pr2CrAgO6 after structural relaxation.

Cell lengths 5.099, 5.429, 5.429 Å; angles 90.00, 90.00, 90.00 degrees
Each line ends with the local moment (μB).
Sites, in units of the cell vectors:
1 Pr 0.004 0.500 0.000  0.02
2 Pr 0.004 0.000 0.500  0.02
3 Cr 0.604 0.000 0.000  1.40
4 Ag 0.522 0.500 0.500  -0.07
5 O 0.736 0.224 0.224  -0.06
6 O 0.736 0.224 0.776  -0.06
7 O 0.103 0.500 0.500  -0.04
8 O 0.264 0.000 0.000  -0.08
9 O 0.736 0.776 0.776  -0.06
10 O 0.736 0.776 0.224  -0.06

Summary:
V (Å³/cell): 150
SG: P4mm
Total DFT energy (no corrections) (Ry/atom): -0.51344